[1]
Entry from the Open Quantum Materials Database: a geometry-optimized CoHgTeO structure (GGA+U).

The structure in extended XYZ format:
```
32
Lattice="5.961 0.000 0.000 0.000 13.482 0.000 0.000 0.000 8.965" Properties=species:S:1:pos:R:3 pbc="T T T"
Co 0.588 3.266 2.229
Co 0.588 3.475 6.712
Co 2.393 10.006 2.229
Co 2.393 10.216 6.712
Co 3.568 3.266 2.253
Co 3.568 3.475 6.736
Co 5.374 10.006 2.253
Co 5.374 10.216 6.736
Hg 0.850 8.518 0.393
Hg 0.850 11.705 4.876
Hg 2.130 1.777 0.393
Hg 2.130 4.964 4.876
Hg 3.831 8.518 4.090
Hg 3.831 11.705 8.572
Hg 5.111 1.777 4.090
Hg 5.111 4.964 8.572
Te 0.863 0.622 6.480
Te 0.863 6.118 1.997
Te 2.117 7.363 6.480
Te 2.117 12.859 1.997
Te 3.844 0.622 6.968
Te 3.844 6.118 2.486
Te 5.098 7.363 6.968
Te 5.098 12.859 2.486
O 0.921 9.914 3.295
O 0.921 10.309 7.778
O 2.060 3.173 3.295
O 2.060 3.568 7.778
O 3.902 9.914 1.187
O 3.902 10.309 5.670
O 5.040 3.173 1.187
O 5.040 3.568 5.670
```

Calculated values
For the mass density, the calculation gives 7.4 g/cm3. The energy comes out at -113.6 eV/cell. As for the energy relative to the lowest polymorph listed for this composition: 215 meV per atom. The space group is Pbca, No. 61.

=====

[2]
Entry from the Open Quantum Materials Database: a geometry-optimized CoHgTeO structure (GGA+U).

The structure in extended XYZ format:
```
8
Lattice="3.969 0.000 0.000 -1.985 3.437 0.000 0.000 0.000 12.163" Properties=species:S:1:pos:R:3 pbc="T T T"
Co 0.000 0.000 0.000
Co 0.000 0.000 6.082
Hg 0.000 2.292 3.512
Hg 1.985 1.146 9.593
Te 0.000 2.292 7.337
Te 1.985 1.146 1.255
O 0.000 0.000 4.218
O 0.000 0.000 10.299
```

Calculated values
For the mass density, the calculation gives 8.1 g/cm3. The energy comes out at -27.7 eV/cell. As for the energy relative to the lowest polymorph listed for this composition: 298 meV per atom. The space group is P6_3mc, No. 186.

=====

[3]
Entry from the Open Quantum Materials Database: a geometry-optimized CoHgTeO structure (GGA+U).

The structure in extended XYZ format:
```
8
Lattice="4.139 0.000 0.000 0.000 6.920 0.000 0.000 0.000 6.189" Properties=species:S:1:pos:R:3 pbc="T T T"
Co 0.000 0.706 0.000
Co 0.000 6.214 3.095
Hg 2.070 1.982 3.720
Hg 2.070 4.938 0.625
Te 2.070 2.096 0.870
Te 2.070 4.824 3.965
O 0.000 0.830 4.251
O 0.000 6.091 1.157
```

Calculated values
For the mass density, the calculation gives 7.6 g/cm3. The energy comes out at -29.3 eV/cell. As for the energy relative to the lowest polymorph listed for this composition: 105 meV per atom. The space group is Pmc2_1, No. 26.

=====

[4]
Entry from the Open Quantum Materials Database: a geometry-optimized CoHgTeO structure (GGA+U).

The structure in extended XYZ format:
```
8
Lattice="4.693 0.000 0.000 0.000 4.693 0.000 0.000 0.000 7.863" Properties=species:S:1:pos:R:3 pbc="T T T"
Co 1.173 1.173 1.351
Co 3.520 3.520 6.512
Hg 1.173 1.173 5.253
Hg 3.520 3.520 2.609
Te 1.173 3.520 0.000
Te 3.520 1.173 0.000
O 1.173 1.173 3.061
O 3.520 3.520 4.802
```

Calculated values
For the mass density, the calculation gives 7.7 g/cm3. The energy comes out at -26.2 eV/cell. As for the energy relative to the lowest polymorph listed for this composition: 489 meV per atom. The space group is P4/nmm, No. 129.

=====

- Look up the mass density of the first one.
  7.4 g/cm3

=====

- What is the formula in the second record?
  CoHgTeO

=====

- The lowest energy relative to the lowest polymorph listed for this composition belongs to which entry?
  number 3

=====

Repeat the third record exactly.
Entry from the Open Quantum Materials Database: a geometry-optimized CoHgTeO structure (GGA+U).

The structure in extended XYZ format:
```
8
Lattice="4.139 0.000 0.000 0.000 6.920 0.000 0.000 0.000 6.189" Properties=species:S:1:pos:R:3 pbc="T T T"
Co 0.000 0.706 0.000
Co 0.000 6.214 3.095
Hg 2.070 1.982 3.720
Hg 2.070 4.938 0.625
Te 2.070 2.096 0.870
Te 2.070 4.824 3.965
O 0.000 0.830 4.251
O 0.000 6.091 1.157
```

Calculated values
For the mass density, the calculation gives 7.6 g/cm3. The energy comes out at -29.3 eV/cell. As for the energy relative to the lowest polymorph listed for this composition: 105 meV per atom. The space group is Pmc2_1, No. 26.